(1)
# La3Zn2Cu2Si4

Crystalline La3Zn2Cu2Si4 at its relaxed geometry (PBE-GGA, OQMD).

Output
The crystal system is orthorhombic. The space group is Immm (71). For the spin magnetization, the calculation gives 0.24 μB per formula unit. The value obtained for the total energy is -53.201 eV/cell. Its excess energy over the best structure of this formula in the dataset is 0 meV per atom.

```
La3Zn2Cu2Si4
1.0
11.481 0.229 5.006
8.965 -4.651 7.411
-9.182 0.586 -8.502
Cu Si Zn La
2 4 2 3
Cartesian
5.006 -3.138 2.560
6.259 -0.697 1.355
16.389 -3.544 9.953
0.884 -2.247 0.057
10.381 -1.588 3.858
4.058 -0.878 2.464
2.005 -0.434 1.217
18.442 -3.988 11.199
1.150 0.408 -1.748
7.107 -1.537 4.316
13.339 -2.885 8.101
```


(2)
# LaSmCu2Sn2

Crystalline LaSmCu2Sn2 at its relaxed geometry (PBE-GGA, OQMD).

Output
The crystal system is trigonal. The space group is P3m1 (156). For the spin magnetization, the calculation gives 0.00 μB per formula unit. The value obtained for the total energy is -28.692 eV/cell.

```
LaSmCu2Sn2
1.0
-0.459 -3.990 2.262
3.811 0.832 -2.455
3.299 3.124 6.178
Sn Cu La Sm
2 2 1 1
Cartesian
4.190 0.673 6.732
3.909 0.665 1.966
2.709 -0.730 3.957
2.576 -0.596 -0.529
2.434 2.305 4.559
0.782 0.741 1.465
```


(3)
# LaSm2Cu4Sn4

Crystalline LaSm2Cu4Sn4 at its relaxed geometry (PBE-GGA, OQMD).

Output
The crystal system is orthorhombic. The space group is Immm (71). For the spin magnetization, the calculation gives 0.00 μB per formula unit. The value obtained for the total energy is -51.063 eV/cell.

```
LaSm2Cu4Sn4
1.0
5.140 -5.354 4.365
-3.130 -5.300 6.021
0.165 2.615 -8.202
Sn Sm Cu La
4 2 4 1
Cartesian
2.613 -6.158 4.029
-0.438 -1.882 -1.846
3.091 -3.695 0.348
-0.916 -4.345 1.835
1.744 -9.244 9.011
0.266 -1.410 1.374
0.529 -4.005 -0.547
1.646 -4.035 2.730
-0.150 -0.408 -4.053
2.325 -7.632 6.237
2.652 -1.370 -1.919
```


(4)
# LaCuSnTe3

Crystalline LaCuSnTe3 at its relaxed geometry (PBE-GGA, OQMD).

Output
The crystal system is orthorhombic. The space group is Cmcm (63). For the spin magnetization, the calculation gives 0.00 μB per formula unit. The value obtained for the total energy is -52.770 eV/cell. Its excess energy over the best structure of this formula in the dataset is 7 meV per atom.

```
LaCuSnTe3
1.0
-4.736 3.225 4.964
1.142 -2.218 -7.159
-4.499 -10.518 2.540
La Te Cu Sn
2 6 2 2
Cartesian
0.000 0.000 0.000
-2.250 -5.259 1.270
-3.028 0.492 0.912
-5.066 -10.002 -0.567
-4.572 -3.118 1.784
-2.728 -9.647 -4.231
-5.365 0.136 4.576
-3.522 -6.393 -1.439
-3.095 -1.965 -0.105
-4.998 -7.545 0.451
-1.374 -3.559 -3.655
-6.719 -5.952 4.000
```


(5)
# LaCuSnTe3

Crystalline LaCuSnTe3 at its relaxed geometry (PBE-GGA, OQMD).

Output
The crystal system is orthorhombic. The space group is Pnma (62). For the spin magnetization, the calculation gives 0.00 μB per formula unit. The value obtained for the total energy is -105.702 eV/cell. Its excess energy over the best structure of this formula in the dataset is 0 meV per atom.

```
LaCuSnTe3
1.0
12.412 0.000 0.000
0.000 4.450 0.000
0.000 0.000 12.703
Te Sn Cu La
12 4 4 4
Cartesian
1.368 0.000 5.578
8.820 2.225 3.983
5.659 0.000 4.756
9.799 0.000 10.335
2.614 2.225 2.368
11.865 0.000 1.596
0.547 2.225 11.107
4.838 2.225 11.929
11.045 2.225 7.126
3.592 0.000 8.720
7.574 0.000 0.774
6.753 2.225 7.948
2.380 0.000 12.539
8.586 0.000 6.516
3.827 2.225 6.187
10.033 2.225 0.164
3.255 0.000 3.695
9.461 0.000 2.657
9.157 2.225 9.008
2.951 2.225 10.047
6.557 0.000 10.315
5.855 2.225 2.389
0.351 0.000 8.740
12.061 2.225 3.963
```


(6)
# La2ZnCu4Sn

Crystalline La2ZnCu4Sn at its relaxed geometry (PBE-GGA, OQMD).

Output
The crystal system is trigonal. The space group is P-3m1 (164). For the spin magnetization, the calculation gives 0.04 μB per formula unit. The value obtained for the total energy is -32.422 eV/cell.

```
La2ZnCu4Sn
1.0
4.535 0.000 0.000
-2.268 3.928 0.000
0.000 0.000 8.984
La Sn Cu Zn
2 1 4 1
Cartesian
2.268 1.309 6.716
0.000 2.619 2.268
0.000 0.000 0.000
2.268 1.309 3.837
2.268 1.309 0.855
0.000 2.619 8.129
0.000 2.619 5.147
0.000 0.000 4.492
```


(7)
# SrLaCuTe3

Crystalline SrLaCuTe3 at its relaxed geometry (PBE-GGA, OQMD).

Output
The crystal system is monoclinic. The space group is P2_1/m (11). For the spin magnetization, the calculation gives 0.00 μB per formula unit. The value obtained for the total energy is -54.401 eV/cell.

```
SrLaCuTe3
1.0
-8.208 3.254 0.870
-1.279 -2.263 -3.606
-0.495 -8.729 5.654
Sr Te Cu La
2 6 2 2
Cartesian
-2.507 -6.754 3.759
-7.475 -0.984 -0.841
-9.072 -4.356 1.843
-5.153 -1.653 1.495
-0.910 -3.382 1.075
-2.861 -1.228 -2.324
-7.121 -6.510 5.242
-4.829 -6.085 1.423
-9.026 -6.638 3.259
-0.955 -1.100 -0.341
-3.636 -3.696 -0.500
-6.346 -4.042 3.418
```


(8)
# SrLaCuTe3

Crystalline SrLaCuTe3 at its relaxed geometry (PBE-GGA, OQMD).

Output
The crystal system is monoclinic. The space group is C2/m (12). For the spin magnetization, the calculation gives 0.00 μB per formula unit. The value obtained for the total energy is -53.545 eV/cell.

```
SrLaCuTe3
1.0
10.277 -2.249 0.000
10.277 2.249 0.000
-2.067 0.000 8.600
Te La Sr Cu
6 2 2 2
Cartesian
13.114 0.000 2.972
5.374 0.000 5.628
12.144 0.000 7.253
0.000 0.000 0.000
9.244 0.000 4.300
6.343 0.000 1.347
15.352 0.000 7.841
3.135 0.000 0.759
1.260 0.000 4.891
17.227 0.000 3.709
10.749 0.000 1.802
7.738 0.000 6.798
```


(9)
# LaCu2Te4

Crystalline LaCu2Te4 at its relaxed geometry (PBE-GGA, OQMD).

Output
The crystal system is monoclinic. The space group is C2/c (15). For the spin magnetization, the calculation gives 0.00 μB per formula unit. The value obtained for the total energy is -57.157 eV/cell.

```
LaCu2Te4
1.0
-5.618 2.326 5.902
-5.110 -4.589 -4.963
6.577 -3.658 2.635
La Cu Te
2 4 8
Cartesian
-0.242 -6.458 -1.613
-3.909 0.538 5.187
-5.364 -1.131 0.470
0.480 -0.666 4.269
-2.075 -2.960 1.787
-2.555 -2.295 -2.482
1.929 -2.733 4.593
-6.080 -3.188 -1.019
-7.149 -2.030 2.051
-1.176 -3.404 -0.652
-0.363 -1.073 1.759
-2.975 -2.517 4.227
2.998 -3.891 1.523
-3.788 -4.848 1.815
```


(10)
# LaTlCuTe3

Crystalline LaTlCuTe3 at its relaxed geometry (PBE-GGA, OQMD).

Output
The crystal system is orthorhombic. The space group is Cmcm (63). For the spin magnetization, the calculation gives 0.01 μB per formula unit. The value obtained for the total energy is -49.488 eV/cell.

```
LaTlCuTe3
1.0
5.774 1.087 5.469
-7.295 -2.803 -1.831
4.783 -10.516 -2.960
Cu Te Tl La
2 6 2 2
Cartesian
-3.288 -10.565 -3.816
6.550 -1.667 4.494
1.379 -3.206 1.606
4.315 -0.274 4.217
-1.053 -11.958 -3.539
-2.702 -8.332 -2.518
1.884 -9.026 -0.928
5.964 -3.900 3.196
6.061 -7.782 1.405
-2.798 -4.449 -0.727
-0.760 -0.858 1.819
1.631 -6.116 0.339
```


(11)
# LaTmCuTe3

Crystalline LaTmCuTe3 at its relaxed geometry (PBE-GGA, OQMD).

Output
The crystal system is orthorhombic. The space group is Cmcm (63). For the spin magnetization, the calculation gives 0.01 μB per formula unit. The value obtained for the total energy is -58.329 eV/cell.

```
LaTmCuTe3
1.0
-5.872 -0.496 -4.584
5.853 -3.471 3.072
-6.373 -3.211 8.512
Tm La Te Cu
2 2 6 2
Cartesian
-3.196 -3.589 3.501
-0.010 -1.984 -0.756
1.150 -3.485 3.170
-7.543 -3.694 3.831
-1.817 -6.050 9.943
-2.601 -2.533 0.721
-4.576 -1.128 -2.942
0.570 -4.848 6.755
-6.963 -2.331 0.246
-3.791 -4.645 6.281
0.721 -5.790 9.227
-7.113 -1.388 -2.226
```


(12)
# LaTmCu

Crystalline LaTmCu at its relaxed geometry (PBE-GGA, OQMD).

Output
The crystal system is cubic. The space group is F-43m (216). For the spin magnetization, the calculation gives 0.01 μB per formula unit. Its formation energy is 0.067 eV per atom. The value obtained for the total energy is -12.914 eV/cell. Its excess energy over the best structure of this formula in the dataset is 0 meV per atom.

```
LaTmCu
1.0
0.000 3.479 3.479
3.479 0.000 3.479
3.479 3.479 0.000
Tm Cu La
1 1 1
Cartesian
5.219 5.219 5.219
0.000 0.000 0.000
1.740 1.740 1.740
```


(13)
# Li2Cu3

Crystalline Li2Cu3 at its relaxed geometry (PBE-GGA, OQMD).

Output
The crystal system is triclinic. The space group is P-1 (2). The value obtained for the total energy is -30.472 eV/cell.

```
Li2Cu3
1.0
4.779 0.000 0.000
0.370 4.859 0.000
1.978 1.501 5.732
Cu Li
6 4
Cartesian
4.548 1.920 1.018
3.379 0.751 2.866
2.164 2.053 4.638
4.963 4.308 1.095
2.580 4.440 4.714
0.989 0.751 2.866
2.401 3.272 2.231
2.153 1.138 0.544
4.726 3.089 3.501
4.975 5.222 5.188
```


(14)
# Li3Cu4

Crystalline Li3Cu4 at its relaxed geometry (PBE-GGA, OQMD).

Output
The crystal system is trigonal. The space group is R3 (146). The value obtained for the total energy is -20.891 eV/cell.

```
Li3Cu4
1.0
-0.305 -4.144 1.701
1.590 -1.001 -4.079
3.815 1.318 1.967
Li Cu
3 4
Cartesian
2.481 -0.643 1.015
0.951 -2.585 0.114
2.076 -0.906 -1.572
3.291 -3.170 1.093
4.432 -1.479 -0.491
0.056 -0.042 -0.004
2.946 -3.357 -1.460
```


(15)
# LiCu6

Crystalline LiCu6 at its relaxed geometry (PBE-GGA, OQMD).

Output
The crystal system is trigonal. The space group is R-3 (148). The value obtained for the total energy is -24.400 eV/cell.

```
LiCu6
1.0
1.479 -4.094 0.797
2.649 1.092 -3.373
2.047 2.168 3.270
Cu Li
6 1
Cartesian
2.972 0.769 2.606
2.688 -1.766 2.479
3.488 0.931 -1.784
2.740 -2.943 0.213
3.436 2.109 0.482
3.203 -1.604 -1.911
3.088 -0.417 0.347
```


(16)
# LiCu3

Crystalline LiCu3 at its relaxed geometry (PBE-GGA, OQMD).

Output
The crystal system is orthorhombic. The space group is Pmmn (59). The value obtained for the total energy is -26.382 eV/cell.

```
LiCu3
1.0
4.203 0.000 0.000
0.000 5.098 0.000
0.000 0.000 4.432
Cu Li
6 2
Cartesian
2.102 1.277 0.741
2.102 3.821 0.741
2.102 2.549 2.992
0.000 3.826 3.691
0.000 0.000 1.440
0.000 1.272 3.691
0.000 2.549 1.489
2.102 0.000 2.943
```


(17)
# LiCu5

Crystalline LiCu5 at its relaxed geometry (PBE-GGA, OQMD).

Output
The crystal system is monoclinic. The space group is C2/m (12). The value obtained for the total energy is -20.687 eV/cell. Its excess energy over the best structure of this formula in the dataset is 0 meV per atom.

```
LiCu5
1.0
2.220 -3.835 0.000
2.220 3.835 0.000
-1.536 0.000 4.170
Cu Li
5 1
Cartesian
1.452 1.303 2.085
2.220 2.565 0.000
1.452 -1.303 2.085
-0.768 0.000 2.085
2.220 -2.565 0.000
2.220 0.000 0.000
```


(18)
# Li5Cu2

Crystalline Li5Cu2 at its relaxed geometry (PBE-GGA, OQMD).

Output
The crystal system is tetragonal. The space group is P4_12_12 (92). The value obtained for the total energy is -133.555 eV/cell. Its excess energy over the best structure of this formula in the dataset is 41 meV per atom.

```
Li5Cu2
1.0
-3.714 -6.932 4.821
6.621 -5.660 -3.036
5.230 2.233 7.240
Li Cu
40 16
Cartesian
5.404 -9.296 1.177
6.134 -6.594 2.616
2.094 -1.335 6.966
7.538 -4.317 2.740
9.103 -6.508 6.425
1.065 -4.614 0.654
3.193 -5.684 2.374
2.290 -0.505 1.853
4.342 -1.659 1.015
5.400 -10.948 5.330
0.797 -6.963 1.997
6.548 -5.271 -0.177
7.106 -8.375 5.390
3.136 -8.429 2.261
4.456 -6.860 4.751
2.700 -6.788 6.837
4.260 -10.843 2.770
4.106 -2.310 5.526
9.394 -4.163 5.205
7.629 -4.648 7.205
1.010 -3.005 5.337
6.168 -6.989 7.481
5.938 -2.205 2.958
1.588 -5.087 9.202
4.431 -8.427 8.892
0.463 -5.459 6.202
4.943 -4.674 6.651
0.122 -0.526 0.075
-1.123 -6.776 3.902
3.572 -4.366 -0.393
3.866 -2.968 8.990
2.862 -2.987 2.781
6.225 -9.691 7.698
2.743 -4.755 4.914
5.104 -4.349 3.933
3.497 0.323 5.730
2.759 -9.476 4.696
6.127 -0.561 5.367
0.280 -2.304 2.595
0.221 -8.997 3.329
4.724 -6.702 0.631
6.787 -3.210 5.359
5.090 -4.244 1.510
4.482 -8.784 6.276
3.895 -5.751 8.691
8.442 -8.565 7.760
1.888 -2.328 0.305
5.353 -8.935 3.792
1.871 -0.864 4.278
4.549 -0.669 7.677
1.788 -6.960 4.273
1.783 -10.840 2.547
6.873 -5.673 5.074
0.824 -4.872 3.344
2.562 -4.019 7.218
4.177 -0.447 3.465
```


(19)
# LiCu11

Crystalline LiCu11 at its relaxed geometry (PBE-GGA, OQMD).

Output
The crystal system is monoclinic. The space group is C2/m (12). The value obtained for the total energy is -42.982 eV/cell.

```
LiCu11
1.0
-4.013 -0.368 -4.037
-3.706 -2.988 3.143
-1.095 4.021 1.514
Cu Li
11 1
Cartesian
-2.754 2.198 0.919
-3.911 -1.241 -1.644
-2.137 -0.265 1.365
-4.510 1.209 -2.093
0.000 0.000 0.000
-6.677 0.930 -0.746
-3.808 -2.114 0.749
-6.060 -1.532 -0.300
-6.574 0.049 1.669
-2.240 0.616 -1.050
-4.304 -0.544 2.712
-4.407 0.333 0.310
```


(20)
# LiCu13

Crystalline LiCu13 at its relaxed geometry (PBE-GGA, OQMD).

Output
The crystal system is monoclinic. The space group is C2/m (12). The value obtained for the total energy is -49.177 eV/cell.

```
LiCu13
1.0
-5.027 0.913 3.548
-2.193 -5.413 2.139
3.359 0.789 3.210
Cu Li
13 1
Cartesian
1.918 -1.265 3.355
0.000 0.000 0.000
-2.508 -1.691 2.549
-3.696 -1.126 4.616
-1.354 -2.020 6.348
-0.166 -2.585 4.282
-3.490 -3.006 6.479
-4.793 -4.649 5.052
0.931 0.937 3.845
-0.372 -0.705 2.419
-5.779 -2.446 5.543
-1.281 -0.094 4.837
-2.580 -3.617 4.061
1.679 0.395 1.605
```